VASP calculation (PBE) on a relaxed Ba5Li2Au crystal.

## Properties
The value obtained for the energy of formation from the pure elements is -0.13 eV/atom. Its space group is Cmcm. The theoretical density is 4.141 g/cm³. The value obtained for the density of states at the Fermi level is 10.59 states/eV/f.u. The value obtained for the size of the total moment is 0.00 Bohr magnetons per cell.

The structure in POSCAR format:
```
Ba5Li2Au
1.0
4.416 0.000 0.000
-2.208 7.023 0.000
0.000 0.000 23.207
Ba Li Au
10 4 2
Direct
0.475 0.951 0.250 Ba
0.638 0.276 0.949 Ba
0.901 0.803 0.616 Ba
0.638 0.276 0.551 Ba
0.901 0.803 0.884 Ba
0.362 0.724 0.449 Ba
0.525 0.049 0.750 Ba
0.099 0.197 0.116 Ba
0.099 0.197 0.384 Ba
0.362 0.724 0.051 Ba
0.233 0.467 0.689 Li
0.767 0.533 0.189 Li
0.767 0.533 0.311 Li
0.233 0.467 0.811 Li
0.186 0.372 0.250 Au
0.814 0.628 0.750 Au
```